Compound: SrTaBiSe2
Source: the Alexandria database
Functional: PBE-GGA
Structure: optimized geometry

Values from the calculation:
SG: No. 123
Formation energy from raw total energies (meV per atom): 534
Uncorrected energy (eV per atom): -4.343
Spin magnetization (μB per atom): 0.543

Unit cell a=5.6901 b=5.3967 c=5.6901 alpha=90.00 beta=90.00 gamma=90.00
With the nearest neighbours (Å) after each atom.
Fractional coordinates of all 5 atoms:
Bi  0.0000  0.0000  0.0000  2 Ta 2.70, 4 Se 2.85
Se  0.5000  0.0000  0.0000  2 Bi 2.85
Sr  0.5000  0.5000  0.5000  8 Se 3.92, 4 Ta 4.02
Se  0.0000  0.0000  0.5000  2 Bi 2.85
Ta  0.0000  0.5000  0.0000  2 Bi 2.70

---

Compound: SrTl2BiSe4
Source: the Alexandria database
Functional: PBE-GGA
Structure: optimized geometry

Values from the calculation:
SG: No. 10
Formation energy from raw total energies (meV per atom): -758
Uncorrected energy (eV per atom): -3.788
Spin magnetization (μB per atom): 0.000

Unit cell a=4.3693 b=7.6783 c=7.7055 alpha=71.18 beta=90.00 gamma=90.00
With the nearest neighbours (Å) after each atom.
Fractional coordinates of all 8 atoms:
Se  0.5000  0.7347  0.2412  1 Bi 2.98, 2 Sr 3.11, 3 Tl 3.15-3.28
Se  0.0000  0.2731  0.2296  2 Bi 2.99, 1 Sr 3.12, 3 Tl 3.15-3.27
Tl  0.0000  0.0000  0.0000  6 Se 3.15
Tl  0.5000  0.0000  0.5000  6 Se 3.27-3.28
Se  0.0000  0.7269  0.7704  2 Bi 2.99, 1 Sr 3.12, 3 Tl 3.15-3.27
Sr  0.0000  0.5000  0.5000  6 Se 3.11-3.12
Se  0.5000  0.2653  0.7588  1 Bi 2.98, 2 Sr 3.11, 3 Tl 3.15-3.28
Bi  0.5000  0.5000  0.0000  6 Se 2.98-2.99

---

Compound: Sr2TlBiSe5
Source: the Alexandria database
Functional: PBE-GGA
Structure: optimized geometry

Values from the calculation:
SG: No. 36
Formation energy from raw total energies (meV per atom): -1070
Uncorrected energy (eV per atom): -4.074
Spin magnetization (μB per atom): 0.000

Unit cell a=4.2845 b=9.6839 c=13.0509 alpha=90.00 beta=90.00 gamma=102.78
With the nearest neighbours (Å) after each atom.
Fractional coordinates of all 18 atoms:
Sr  0.8697  0.7394  0.8115  8 Se 3.23-3.50
Se  0.6905  0.3810  0.8577  1 Tl 2.83, 2 Bi 3.05
Sr  0.1131  0.2262  0.6800  8 Se 3.17-3.48
Se  0.6381  0.2762  0.4989  1 Bi 2.77
Se  0.2807  0.5614  0.6732  2 Bi 2.93, 3 Sr 3.17-3.27
Se  0.7193  0.4386  0.1732  2 Bi 2.93, 3 Sr 3.17-3.27
Bi  0.2158  0.4316  0.0199  5 Se 2.77-3.05
Sr  0.8869  0.7738  0.1800  8 Se 3.17-3.48
Sr  0.1303  0.2606  0.3115  8 Se 3.23-3.50
Se  0.5063  0.0125  0.2645  1 Tl 2.63
Se  0.4937  0.9875  0.7645  1 Tl 2.63
Bi  0.7842  0.5684  0.5199  5 Se 2.77-3.05
Se  0.0469  0.0937  0.0720  2 Tl 2.70
Se  0.3095  0.6190  0.3577  1 Tl 2.83, 2 Bi 3.05
Se  0.3619  0.7238  0.9989  1 Bi 2.77
Se  0.9531  0.9063  0.5720  2 Tl 2.70
Tl  0.4460  0.8920  0.4463  4 Se 2.63-2.83
Tl  0.5540  0.1080  0.9463  4 Se 2.63-2.83

---

Compound: SrTl3Bi2Se6
Source: the Alexandria database
Functional: PBE-GGA
Structure: optimized geometry

Values from the calculation:
SG: No. 12
Formation energy from raw total energies (meV per atom): -661
Uncorrected energy (eV per atom): -3.782
Spin magnetization (μB per atom): 0.000

Unit cell a=7.5699 b=7.5699 c=7.8127 alpha=99.34 beta=99.34 gamma=119.91
With the nearest neighbours (Å) after each atom.
Fractional coordinates of all 12 atoms:
Se  0.9227  0.5756  0.7720  2 Bi 2.99, 1 Sr 3.12, 3 Tl 3.19-3.28
Tl  0.5000  0.5000  0.5000  6 Se 3.18-3.26
Se  0.4244  0.0773  0.2280  2 Bi 2.99, 1 Sr 3.12, 3 Tl 3.19-3.28
Se  0.5756  0.9227  0.7720  2 Bi 2.99, 1 Sr 3.12, 3 Tl 3.19-3.28
Bi  0.3322  0.6678  0.0000  6 Se 2.97-2.99
Bi  0.6678  0.3322  0.0000  6 Se 2.97-2.99
Se  0.7256  0.7256  0.2203  2 Bi 2.97, 1 Sr 3.10, 3 Tl 3.18-3.26
Se  0.0773  0.4244  0.2280  2 Bi 2.99, 1 Sr 3.12, 3 Tl 3.19-3.28
Tl  0.1611  0.8389  0.5000  6 Se 3.19-3.28
Sr  0.0000  0.0000  0.0000  6 Se 3.10-3.12
Se  0.2744  0.2744  0.7797  2 Bi 2.97, 1 Sr 3.10, 3 Tl 3.18-3.26
Tl  0.8389  0.1611  0.5000  6 Se 3.19-3.28

---

Compound: SrVBi2Se
Source: the Alexandria database
Functional: PBE-GGA
Structure: optimized geometry

Values from the calculation:
SG: No. 123
Formation energy from raw total energies (meV per atom): -238
Uncorrected energy (eV per atom): -4.647
Spin magnetization (μB per atom): 0.000

Unit cell a=5.5321 b=4.7749 c=5.5321 alpha=90.00 beta=90.00 gamma=90.00
With the nearest neighbours (Å) after each atom.
Fractional coordinates of all 5 atoms:
V  0.0000  0.0000  0.0000  2 Se 2.39
Bi  0.0000  0.0000  0.5000  2 V 2.77
Sr  0.5000  0.5000  0.5000  8 Bi 3.65, 4 Se 3.91
Se  0.0000  0.5000  0.0000  2 V 2.39
Bi  0.5000  0.0000  0.0000  2 V 2.77

---

Compound: Sr2ZnBiSe5
Source: the Alexandria database
Functional: PBE-GGA
Structure: optimized geometry

Values from the calculation:
SG: No. 36
Formation energy from raw total energies (meV per atom): -1100
Uncorrected energy (eV per atom): -3.982
Spin magnetization (μB per atom): 0.000

Unit cell a=4.1924 b=9.3928 c=12.9800 alpha=90.00 beta=90.00 gamma=102.90
With the nearest neighbours (Å) after each atom.
Fractional coordinates of all 18 atoms:
Se  0.6908  0.3816  0.8702  1 Zn 2.59
Zn  0.5543  0.1085  0.9220  4 Se 2.44-2.59
Se  0.5099  0.0199  0.2569  1 Zn 2.44
Se  0.3562  0.7124  0.0128  1 Bi 2.78
Se  0.2825  0.5650  0.6893  2 Bi 2.93, 1 Sr 3.23
Se  0.4901  0.9801  0.7569  1 Zn 2.44
Se  0.6438  0.2876  0.5128  1 Bi 2.78
Se  0.7175  0.4350  0.1893  2 Bi 2.93, 1 Sr 3.23
Se  0.3092  0.6184  0.3702  1 Zn 2.59
Sr  0.8762  0.7524  0.8343  7 Se 3.12-3.43
Zn  0.4457  0.8915  0.4220  4 Se 2.44-2.59
Sr  0.8937  0.7874  0.1851  6 Se 3.13-3.34
Bi  0.7951  0.5902  0.5330  5 Se 2.78-2.99
Se  0.0336  0.0673  0.0202  2 Zn 2.48
Sr  0.1238  0.2476  0.3343  7 Se 3.12-3.43
Se  0.9664  0.9327  0.5202  2 Zn 2.48
Sr  0.1063  0.2126  0.6851  6 Se 3.13-3.34
Bi  0.2049  0.4098  0.0331  5 Se 2.78-2.99